Below is a geometry-optimized Ho4Rh structure, with properties calculated at the PBE-GGA level. Values from VASP.

Quantum ESPRESSO input file:
```
&SYSTEM
  ibrav = 0, nat = 5, ntyp = 2
/
ATOMIC_SPECIES
Ho 164.93 Ho.upf
Rh 102.91 Rh.upf
CELL_PARAMETERS angstrom
5.3735 0.0000 0.0000
0.0000 5.3735 0.0000
0.0000 0.0000 5.3735
ATOMIC_POSITIONS angstrom
Ho 0.0000 0.0000 0.0000
Ho 0.0000 2.6868 2.6868
Ho 2.6868 0.0000 2.6868
Ho 2.6868 2.6868 0.0000
Rh 2.6868 2.6868 2.6868
```

Density of states at the Fermi level in states/eV/cell: 7.7
Volume in Å³/cell: 155.16
Energy relative to the lowest polymorph listed for this composition in meV/atom: 144
Formation enthalpy at 0 K in meV per atom: -220
E_tot in eV/atom: -5.352

Below is a geometry-optimized Ho3Rh structure, with properties calculated at the PBE-GGA level. Values from VASP.

Quantum ESPRESSO input file:
```
&SYSTEM
  ibrav = 0, nat = 4, ntyp = 2
/
ATOMIC_SPECIES
Ho 164.93 Ho.upf
Rh 102.91 Rh.upf
CELL_PARAMETERS angstrom
3.3956 0.0000 0.0000
0.0000 3.6462 0.0000
0.0000 0.0000 8.9551
ATOMIC_POSITIONS angstrom
Ho 0.0000 0.0000 0.0000
Ho 0.0000 1.8231 3.0409
Ho 1.6978 1.8231 6.4274
Rh 1.6978 0.0000 4.3592
```

Density of states at the Fermi level in states/eV/cell: 4.7
Volume in Å³/cell: 110.87
Formation enthalpy at 0 K in meV per atom: -223
E_tot in eV/atom: -5.494